No. 1
Entry from Alexandria: Tb3Dy7Tl after structural relaxation (PBE).

Lattice parameters (Å, degrees): 6.9615 6.9615 8.5092 90.00 90.00 120.00
Space group P3m1 (No. 156)
Unique sites:
1 Tb 0.1678 0.3357 0.0000 [3 per cell]
2 Dy 0.0061 0.5031 0.3376 [3 per cell]
3 Dy 0.3309 0.1655 0.6614 [3 per cell]
4 Dy 0.3333 0.6667 0.6723 [1 per cell]
5 Tl 0.0000 0.0000 0.3351 [1 per cell]

E_form: 0.145 eV per atom
E_tot: -4.2616 eV per atom

=====

No. 2
Entry from Alexandria: Be5C after structural relaxation (PBE).

Lattice parameters (Å, degrees): 4.0355 4.0355 3.7603 90.00 90.00 120.00
Space group P6/mmm (No. 191)
Unique sites:
1 Be 0.0000 0.5000 0.0000 [3 per cell]
2 Be 0.3333 0.6667 0.5000 [2 per cell]
3 C 0.0000 0.0000 0.5000 [1 per cell]

E_form: 0.972 eV per atom
relative energy among the computed polymorphs: 676.0 meV/atom
E_tot: -3.6709 eV per atom